a | {"formula": "Ca4CuAg", "functional": "PBE-GGA", "state": "relaxed", "lattice": [[4.766, -6.960, 0.000], [4.766, 6.960, 0.000], [-3.737, 0.000, 5.627]], "species": ["Ca", "Ca", "Ca", "Ca", "Ca", "Ca", "Ca", "Ca", "Cu", "Cu", "Ag", "Ag"], "fractional_positions": [[0.055, 0.698, 0.905], [0.237, 0.358, 0.727], [0.302, 0.945, 0.595], [0.358, 0.237, 0.227], [0.642, 0.763, 0.773], [0.698, 0.055, 0.405], [0.763, 0.642, 0.273], [0.945, 0.302, 0.095], [0.001, 0.999, 0.750], [0.999, 0.001, 0.250], [0.366, 0.634, 0.250], [0.634, 0.366, 0.750]], "magmom_total_mub_per_fu": 0.00}

---

b | {"formula": "Ca4CuAg", "functional": "PBE-GGA", "state": "relaxed", "lattice": [[0.000, 4.685, 4.685], [4.685, 0.000, 4.685], [4.685, 4.685, 0.000]], "species": ["Ca", "Ca", "Ca", "Ca", "Cu", "Ag"], "fractional_positions": [[0.125, 0.125, 0.125], [0.125, 0.125, 0.625], [0.125, 0.625, 0.125], [0.625, 0.125, 0.125], [0.750, 0.750, 0.750], [0.500, 0.500, 0.500]], "magmom_total_mub_per_fu": 0.00}

---

Tell me which of them is the least stable. Sure, it is b.

---

a | {"formula": "CaCuAg", "functional": "PBE-GGA", "state": "relaxed", "lattice": [[0.000, 3.271, 3.271], [3.271, 0.000, 3.271], [3.271, 3.271, 0.000]], "species": ["Ca", "Cu", "Ag"], "fractional_positions": [[0.000, 0.000, 0.000], [0.750, 0.750, 0.750], [0.500, 0.500, 0.500]], "magmom_total_mub_per_fu": 0.00}

---

b | {"formula": "CaCuAg", "functional": "PBE-GGA", "state": "relaxed", "lattice": [[5.386, -2.381, 0.000], [5.386, 2.381, 0.000], [-3.967, 0.000, 5.229]], "species": ["Ca", "Ca", "Cu", "Cu", "Ag", "Ag"], "fractional_positions": [[0.000, 0.000, 0.000], [0.500, 0.500, 0.500], [0.000, 0.500, 0.000], [0.500, 0.000, 0.000], [0.250, 0.250, 0.632], [0.750, 0.750, 0.368]], "magmom_total_mub_per_fu": 0.00}

---

c | {"formula": "CaCuAg", "functional": "PBE-GGA", "state": "relaxed", "lattice": [[0.000, 3.410, 3.410], [3.410, 0.000, 3.410], [3.410, 3.410, 0.000]], "species": ["Ca", "Cu", "Ag"], "fractional_positions": [[0.000, 0.000, 0.000], [0.750, 0.750, 0.750], [0.250, 0.250, 0.250]], "magmom_total_mub_per_fu": 0.00}

---

Tell me which of them is the least stable. Sure, it is c.